The following is a GGA+U calculation of a relaxed CrSN2F crystal, from Alexandria via LeMat-Bulk.

a = 3.7382 Å, b = 3.7382 Å, c = 4.7748 Å
α = 90.00°, β = 90.00°, γ = 90.00°
Closest atoms and distances in Å follow each position.
Space group P4/mmm (No. 123)
Symmetry-distinct sites (fractional):
Cr (0.0000, 0.0000, 0.0000) (multiplicity 1)  4 N 1.87
S (0.0000, 0.0000, 0.5000) (multiplicity 1)  2 Cr 2.39, 4 F 2.64
N (0.0000, 0.5000, 0.0000) (multiplicity 2)  2 Cr 1.87
F (0.5000, 0.5000, 0.5000) (multiplicity 1)  4 S 2.64

Computed properties:
- energy above the lowest structure with this stoichiometry (kJ/mol of atoms) = 22.3
- total magnetic moment (μB/cell) = 2.33
- V (A^3/atom) = 13.34
- density (g cm⁻³) = 3.26
- uncorrected energy (eV/atom) = -5.170